Y12Ho5Er2 | PBE | relaxed

Calculated values
- ΔE to the lowest computed polymorph: 0 meV/atom

```
data_Y12Ho5Er2
_space_group_name_H-M_alt 'P -1'
_space_group_IT_number 2
_space_group_name_Hall '-P 1'
_cell_length_a 6.154
_cell_length_b 9.382
_cell_length_c 10.665
_cell_angle_alpha 78.95
_cell_angle_beta 84.45
_cell_angle_gamma 90.00
loop_
_atom_site_label
_atom_site_fract_x
_atom_site_fract_y
_atom_site_fract_z
Y1 0.027 0.105 0.342
Y2 0.132 0.526 0.711
Y3 0.185 0.737 0.395
Y4 0.289 0.157 0.764
Y5 0.394 0.579 0.131
Y6 0.449 0.790 0.816
Ho1 0.078 0.315 0.026
Ho2 0.343 0.368 0.448
Ho3 0.500 0.000 0.500
Er1 0.236 0.948 0.078
```


Y2Ho3Er6 | PBE | relaxed

Calculated values
- ΔE to the lowest computed polymorph: 168 meV/atom

```
data_Y2Ho3Er6
_space_group_name_H-M_alt 'I 4/m m m'
_space_group_IT_number 139
_space_group_name_Hall '-I 4 2'
_cell_length_a 4.679
_cell_length_b 4.679
_cell_length_c 33.116
_cell_angle_alpha 90.00
_cell_angle_beta 90.00
_cell_angle_gamma 90.00
loop_
_atom_site_label
_atom_site_fract_x
_atom_site_fract_y
_atom_site_fract_z
Y1 0.000 0.000 0.046
Ho1 0.000 0.000 0.299
Ho2 0.000 0.000 0.500
Er1 0.000 0.000 0.196
Er2 0.000 0.500 0.123
```


YHo8Er2 | PBE | relaxed

Calculated values
- ΔE to the lowest computed polymorph: 34 meV/atom

```
data_YHo8Er2
_space_group_name_H-M_alt 'C 1 2/m 1'
_space_group_IT_number 12
_space_group_name_Hall '-C 2y'
_cell_length_a 9.050
_cell_length_b 16.544
_cell_length_c 5.872
_cell_angle_alpha 90.00
_cell_angle_beta 127.21
_cell_angle_gamma 90.00
loop_
_atom_site_label
_atom_site_fract_x
_atom_site_fract_y
_atom_site_fract_z
Y1 0.000 0.000 0.000
Ho1 0.000 0.203 0.000
Ho2 0.048 0.500 0.784
Ho3 0.222 0.125 0.702
Er1 0.000 0.311 0.500
```


Y6Ho12Er | PBE | relaxed

Calculated values
- ΔE to the lowest computed polymorph: 38 meV/atom

```
data_Y6Ho12Er
_space_group_name_H-M_alt 'R -3 m'
_space_group_IT_number 166
_space_group_name_Hall '-R 3 2"'
_cell_length_a 13.1005
_cell_length_b 13.1005
_cell_length_c 12.5886
_cell_angle_alpha 90.00
_cell_angle_beta 90.00
_cell_angle_gamma 120.00
loop_
_atom_site_label
_atom_site_fract_x
_atom_site_fract_y
_atom_site_fract_z
Y1 0.0389 0.5195 0.1197
Ho1 0.0000 0.2569 0.0000
Ho2 0.0911 0.1822 0.7640
Er1 0.0000 0.0000 0.5000
```


YHo3Er12 | PBE | relaxed

```
data_YHo3Er12
_space_group_name_H-M_alt 'P 4/m m m'
_space_group_IT_number 123
_space_group_name_Hall '-P 4 2'
_cell_length_a 4.971
_cell_length_b 4.971
_cell_length_c 19.873
_cell_angle_alpha 90.00
_cell_angle_beta 90.00
_cell_angle_gamma 90.00
loop_
_atom_site_label
_atom_site_fract_x
_atom_site_fract_y
_atom_site_fract_z
Y1 0.000 0.000 0.000
Ho1 0.000 0.000 0.250
Ho2 0.000 0.000 0.500
Er1 0.000 0.500 0.126
Er2 0.000 0.500 0.375
Er3 0.500 0.500 0.000
Er4 0.500 0.500 0.250
Er5 0.500 0.500 0.500
```


Y2Ho5Er3 | PBE | relaxed

Calculated values
- ΔE to the lowest computed polymorph: 75 meV/atom

```
data_Y2Ho5Er3
_space_group_name_H-M_alt 'I b a m'
_space_group_IT_number 72
_space_group_name_Hall '-I 2 2c'
_cell_length_a 11.177
_cell_length_b 17.465
_cell_length_c 6.632
_cell_angle_alpha 90.00
_cell_angle_beta 90.00
_cell_angle_gamma 90.00
loop_
_atom_site_label
_atom_site_fract_x
_atom_site_fract_y
_atom_site_fract_z
Y1 0.234 0.028 0.000
Ho1 0.000 0.182 0.250
Ho2 0.000 0.500 0.250
Ho3 0.095 0.331 0.500
Er1 0.000 0.000 0.250
Er2 0.212 0.327 0.000
```


Y2Ho3Er6 | PBE | relaxed

Calculated values
- ΔE to the lowest computed polymorph: 0 meV/atom

```
data_Y2Ho3Er6
_space_group_name_H-M_alt 'R -3 m'
_space_group_IT_number 166
_space_group_name_Hall '-R 3 2"'
_cell_length_a 5.5811
_cell_length_b 5.5811
_cell_length_c 38.2583
_cell_angle_alpha 90.00
_cell_angle_beta 90.00
_cell_angle_gamma 120.00
loop_
_atom_site_label
_atom_site_fract_x
_atom_site_fract_y
_atom_site_fract_z
Y1 0.0000 0.0000 0.0457
Ho1 0.0000 0.0000 0.2347
Ho2 0.0000 0.0000 0.5000
Er1 0.0000 0.0000 0.1388
Er2 0.0000 0.0000 0.3290
Er3 0.0000 0.0000 0.4175
```


Y7Ho2Er2 | PBE | relaxed

Calculated values
- ΔE to the lowest computed polymorph: 0 meV/atom

```
data_Y7Ho2Er2
_space_group_name_H-M_alt 'C 1 2/m 1'
_space_group_IT_number 12
_space_group_name_Hall '-C 2y'
_cell_length_a 8.959
_cell_length_b 9.405
_cell_length_c 8.628
_cell_angle_alpha 90.00
_cell_angle_beta 101.03
_cell_angle_gamma 90.00
loop_
_atom_site_label
_atom_site_fract_x
_atom_site_fract_y
_atom_site_fract_z
Y1 0.000 0.000 0.000
Y2 0.154 0.000 0.410
Y3 0.235 0.315 0.210
Ho1 0.104 0.500 0.856
Er1 0.000 0.324 0.500
```


Final energy (hartree per atom)
-0.2111, -0.1698, -0.1688, -0.1821, -0.1713, -0.1716, -0.1760, -0.2086
Theoretical density (g/cm³)
6.15, 7.68, 8.27, 7.14, 8.76, 7.72, 8.09, 5.99